# PBE-GGA Zn2SiPt, optimized geometry
data_Zn2SiPt
_chemical_formula_sum 'Zn2 Si1 Pt1'
_cell_length_a 2.9118
_cell_length_b 4.2161
_cell_length_c 5.0447
_cell_angle_alpha 90.00
_cell_angle_beta 103.73
_cell_angle_gamma 90.00
_space_group_name_H-M_alt 'P 1 m 1'
_space_group_IT_number 6
loop_
_space_group_symop_operation_xyz
'x,y,z'
'x,-y,z'
loop_
_atom_site_label
_atom_site_type_symbol
_atom_site_fract_x
_atom_site_fract_y
_atom_site_fract_z
_atom_site_occupancy
Zn1 Zn 0.0000 0.0000 0.0000 1
Zn2 Zn 0.2927 0.5000 0.6950 1
Si1 Si 0.7117 0.0000 0.4836 1
Pt1 Pt 0.5886 0.5000 0.2231 1
# Raw formation energy, eV per formula unit: -0.9
# Energy, eV/atom: -3.72